# SrAg2Pt | the Alexandria database | PBE | optimized geometry
data_SrAg2Pt
_chemical_formula_sum 'Sr1 Ag2 Pt1'
_cell_length_a 3.219
_cell_length_b 4.361
_cell_length_c 6.040
_cell_angle_alpha 90.00
_cell_angle_beta 90.00
_cell_angle_gamma 90.00
_symmetry_space_group_name_H-M 'P m m m'
_symmetry_Int_Tables_number 47
loop_
_symmetry_equiv_pos_as_xyz
'x,y,z'
'-x,-y,-z'
'-x,-y,z'
'x,y,-z'
'x,-y,-z'
'-x,y,z'
'-x,y,-z'
'x,-y,z'
loop_
_atom_site_label
_atom_site_type_symbol
_atom_site_fract_x
_atom_site_fract_y
_atom_site_fract_z
_atom_site_occupancy
Sr1 Sr 0.000 0.000 0.000 1
Ag1 Ag 0.500 0.500 0.278 1
Pt1 Pt 0.000 0.000 0.500 1
# Final energy (eV/cell): -13.8
# Calculated formation energy (eV/atom): -0.095